DFT (PBE-GGA) results for crystalline Ba12Ga5H2 at its relaxed geometry. Values from VASP.

Geometry as Quantum ESPRESSO input:
```
&SYSTEM
  ibrav = 0, nat = 19, ntyp = 3
/
ATOMIC_SPECIES
Ga 69.72 Ga.upf
Ba 137.33 Ba.upf
H 1.01 H.upf
CELL_PARAMETERS angstrom
8.556 0.000 0.000
-4.278 9.315 0.246
0.000 -2.998 10.296
ATOMIC_POSITIONS angstrom
Ga 0.000 3.815 6.796
Ga 0.000 -1.499 5.148
Ga 0.000 5.615 1.758
Ga 4.278 0.703 8.784
Ga 4.278 2.503 3.746
Ba -2.193 5.244 4.656
Ba 2.090 3.285 9.322
Ba 4.278 8.140 2.044
Ba 0.000 -1.823 8.498
Ba 2.193 5.244 4.656
Ba 0.000 6.818 8.508
Ba -2.090 3.285 9.322
Ba 2.085 1.073 5.886
Ba 4.278 -0.500 2.034
Ba 2.188 3.032 1.220
Ba 6.471 1.073 5.886
Ba 6.368 3.032 1.220
H 2.172 0.000 0.000
H 6.384 0.000 0.000
```

DFT (PBE-GGA) results for crystalline CuAg3Bi at its relaxed geometry. Values from VASP.

Geometry as Quantum ESPRESSO input:
```
&SYSTEM
  ibrav = 0, nat = 5, ntyp = 3
/
ATOMIC_SPECIES
Ag 107.87 Ag.upf
Cu 63.55 Cu.upf
Bi 208.98 Bi.upf
CELL_PARAMETERS angstrom
4.833 0.000 0.000
0.000 4.833 0.000
0.000 0.000 4.833
ATOMIC_POSITIONS angstrom
Ag 0.000 0.000 2.417
Ag 0.000 2.417 0.000
Ag 2.417 0.000 0.000
Cu 0.000 0.000 0.000
Bi 2.417 2.417 2.417
```

Computed properties:
- Offset from the most stable computed form: 0.000 eV per atom
- Energy of formation: 0.44 eV per atom

DFT (PBE-GGA) results for crystalline LiLaCdIn2 at its relaxed geometry. Values from VASP.

Geometry as Quantum ESPRESSO input:
```
&SYSTEM
  ibrav = 0, nat = 5, ntyp = 4
/
ATOMIC_SPECIES
Cd 112.41 Cd.upf
La 138.91 La.upf
In 114.82 In.upf
Li 6.94 Li.upf
CELL_PARAMETERS angstrom
-4.595 0.164 -0.117
-0.122 -0.139 4.595
2.571 6.086 -2.049
ATOMIC_POSITIONS angstrom
Cd 0.046 2.980 2.393
La 0.000 0.000 0.000
In -2.310 1.402 2.283
In 0.165 4.709 0.147
Li -2.191 3.131 0.037
```

Computed properties:
- Energy of formation: -0.35 eV per atom

Asked for E_tot across the records above, the calculation gives -2.52 -2.87 -3.00 eV/atom in order.